This record from Alexandria describes crystalline NbWO4 at its relaxed geometry. The functional is PBE+U.

Properties
M_tot in μB per cell: 2.93
DOS(E_F) in states/eV/f.u.: 1.162
Raw total energy in eV/atom: -8.36

abc: 3.176 4.857 4.857
angles: 90.61 90.00 90.00
Each line ends with the local moment (μB).
Element x y z (fractional)
O 0.000 0.796 0.796  -0.02
O 0.500 0.695 0.305  -0.02
O 0.000 0.204 0.204  -0.02
O 0.500 0.305 0.695  -0.02
Nb 0.000 0.500 0.500  0.51
W 0.500 0.000 0.000  2.32